No. 1
The following is a DFT calculation (PBE) of a relaxed structure of NdAl4NiPd2.

Cell and atoms, written as CIF:
```
data_NdAl4NiPd2
_chemical_formula_sum 'Nd3 Al12 Ni3 Pd6'
_cell_length_a 4.2368
_cell_length_b 4.2368
_cell_length_c 26.8547
_cell_angle_alpha 90.00
_cell_angle_beta 90.00
_cell_angle_gamma 120.00
_symmetry_space_group_name_H-M 'R -3 m'
_symmetry_Int_Tables_number 166
_symmetry_space_group_name_Hall '-R 3 2"'
loop_
_atom_site_label
_atom_site_type_symbol
_atom_site_fract_x
_atom_site_fract_y
_atom_site_fract_z
Nd1 Nd 0.0000 0.0000 0.0000
Al1 Al 0.0000 0.0000 0.1363
Al2 Al 0.0000 0.0000 0.4075
Ni1 Ni 0.0000 0.0000 0.5000
Pd1 Pd 0.0000 0.0000 0.2343
```

Summary:
Calculated total energy (eV per atom): -5.201
ΔH_f (0 K) (eV/atom): -0.713
Total magnetization (μB per cell): 0.00

---

No. 2
The following is a DFT calculation (PBE) of a relaxed structure of PmNdAlNi.

Cell and atoms, written as CIF:
```
data_PmNdAlNi
_chemical_formula_sum 'Pm4 Nd4 Al4 Ni4'
_cell_length_a 7.2578
_cell_length_b 7.2578
_cell_length_c 7.2578
_cell_angle_alpha 90.00
_cell_angle_beta 90.00
_cell_angle_gamma 90.00
_symmetry_space_group_name_H-M 'F -4 3 m'
_symmetry_Int_Tables_number 216
_symmetry_space_group_name_Hall 'F -4 2 3'
loop_
_atom_site_label
_atom_site_type_symbol
_atom_site_fract_x
_atom_site_fract_y
_atom_site_fract_z
Pm1 Pm 0.0000 0.0000 0.0000
Nd1 Nd 0.0000 0.0000 0.5000
Al1 Al 0.2500 0.2500 0.7500
Ni1 Ni 0.2500 0.2500 0.2500
```

Summary:
Calculated total energy (eV per atom): -4.963
ΔH_f (0 K) (eV/atom): -0.202
Total magnetization (μB per cell): 0.00

---

No. 3
The following is a DFT calculation (PBE) of a relaxed structure of NdAl4NiPt2.

Cell and atoms, written as CIF:
```
data_NdAl4NiPt2
_chemical_formula_sum 'Nd3 Al12 Ni3 Pt6'
_cell_length_a 4.2389
_cell_length_b 4.2389
_cell_length_c 26.7006
_cell_angle_alpha 90.00
_cell_angle_beta 90.00
_cell_angle_gamma 120.00
_symmetry_space_group_name_H-M 'R -3 m'
_symmetry_Int_Tables_number 166
_symmetry_space_group_name_Hall '-R 3 2"'
loop_
_atom_site_label
_atom_site_type_symbol
_atom_site_fract_x
_atom_site_fract_y
_atom_site_fract_z
Nd1 Nd 0.0000 0.0000 0.0000
Al1 Al 0.0000 0.0000 0.1357
Al2 Al 0.0000 0.0000 0.4068
Ni1 Ni 0.0000 0.0000 0.5000
Pt1 Pt 0.0000 0.0000 0.2337
```

Summary:
Calculated total energy (eV per atom): -5.554
ΔH_f (0 K) (eV/atom): -0.854
Total magnetization (μB per cell): 0.00

---

No. 4
The following is a DFT calculation (PBE) of a relaxed structure of Nd2Al4NiPt3.

Cell and atoms, written as CIF:
```
data_Nd2Al4NiPt3
_chemical_formula_sum 'Nd2 Al4 Ni1 Pt3'
_cell_length_a 4.2727
_cell_length_b 4.2727
_cell_length_c 10.3458
_cell_angle_alpha 90.00
_cell_angle_beta 90.00
_cell_angle_gamma 90.00
_symmetry_space_group_name_H-M 'P -4 m 2'
_symmetry_Int_Tables_number 115
loop_
_symmetry_equiv_pos_as_xyz
'x,y,z'
'y,-x,-z'
'-x,-y,z'
'-y,x,-z'
'-x,y,z'
'-y,-x,-z'
'x,-y,z'
'y,x,-z'
loop_
_atom_site_label
_atom_site_type_symbol
_atom_site_fract_x
_atom_site_fract_y
_atom_site_fract_z
Nd1 Nd 0.0000 0.5000 0.2457
Al1 Al 0.0000 0.0000 0.5000
Al2 Al 0.0000 0.5000 0.8788
Al3 Al 0.5000 0.5000 0.5000
Ni1 Ni 0.5000 0.5000 0.0000
Pt1 Pt 0.0000 0.0000 0.0000
Pt2 Pt 0.0000 0.5000 0.6348
```

Summary:
Calculated total energy (eV per atom): -5.832
ΔH_f (0 K) (eV/atom): -0.991
Total magnetization (μB per cell): 0.00

---

No. 5
The following is a DFT calculation (PBE) of a relaxed structure of Nd2Al4Ni3Pt.

Cell and atoms, written as CIF:
```
data_Nd2Al4Ni3Pt
_chemical_formula_sum 'Nd2 Al4 Ni3 Pt1'
_cell_length_a 4.1401
_cell_length_b 4.1401
_cell_length_c 10.3554
_cell_angle_alpha 90.00
_cell_angle_beta 90.00
_cell_angle_gamma 90.00
_symmetry_space_group_name_H-M 'P -4 m 2'
_symmetry_Int_Tables_number 115
loop_
_symmetry_equiv_pos_as_xyz
'x,y,z'
'y,-x,-z'
'-x,-y,z'
'-y,x,-z'
'-x,y,z'
'-y,-x,-z'
'x,-y,z'
'y,x,-z'
loop_
_atom_site_label
_atom_site_type_symbol
_atom_site_fract_x
_atom_site_fract_y
_atom_site_fract_z
Nd1 Nd 0.0000 0.5000 0.2447
Al1 Al 0.0000 0.0000 0.0000
Al2 Al 0.0000 0.5000 0.6313
Al3 Al 0.5000 0.5000 0.0000
Ni1 Ni 0.0000 0.5000 0.8690
Ni2 Ni 0.5000 0.5000 0.5000
Pt1 Pt 0.0000 0.0000 0.5000
```

Summary:
Calculated total energy (eV per atom): -5.471
ΔH_f (0 K) (eV/atom): -0.682
Total magnetization (μB per cell): 0.00

---

No. 6
The following is a DFT calculation (PBE) of a relaxed structure of Nd2AlNi2Pt5.

Cell and atoms, written as CIF:
```
data_Nd2AlNi2Pt5
_chemical_formula_sum 'Nd4 Al2 Ni4 Pt10'
_cell_length_a 9.3788
_cell_length_b 9.3788
_cell_length_c 3.9431
_cell_angle_alpha 90.00
_cell_angle_beta 90.00
_cell_angle_gamma 90.00
_symmetry_space_group_name_H-M 'P 4/m b m'
_symmetry_Int_Tables_number 127
_symmetry_space_group_name_Hall '-P 4 2ab'
loop_
_atom_site_label
_atom_site_type_symbol
_atom_site_fract_x
_atom_site_fract_y
_atom_site_fract_z
Nd1 Nd 0.1751 0.3249 0.0000
Al1 Al 0.0000 0.0000 0.0000
Ni1 Ni 0.1233 0.6233 0.0000
Pt1 Pt 0.0000 0.5000 0.5000
Pt2 Pt 0.0661 0.7954 0.5000
```

Summary:
Calculated total energy (eV per atom): -6.321
ΔH_f (0 K) (eV/atom): -0.816
Total magnetization (μB per cell): 0.00

---

No. 7
The following is a DFT calculation (PBE) of a relaxed structure of Nd2Al4NiRh3.

Cell and atoms, written as CIF:
```
data_Nd2Al4NiRh3
_chemical_formula_sum 'Nd2 Al4 Ni1 Rh3'
_cell_length_a 4.2427
_cell_length_b 4.2427
_cell_length_c 10.2203
_cell_angle_alpha 90.00
_cell_angle_beta 90.00
_cell_angle_gamma 90.00
_symmetry_space_group_name_H-M 'P -4 m 2'
_symmetry_Int_Tables_number 115
loop_
_symmetry_equiv_pos_as_xyz
'x,y,z'
'y,-x,-z'
'-x,-y,z'
'-y,x,-z'
'-x,y,z'
'-y,-x,-z'
'x,-y,z'
'y,x,-z'
loop_
_atom_site_label
_atom_site_type_symbol
_atom_site_fract_x
_atom_site_fract_y
_atom_site_fract_z
Nd1 Nd 0.0000 0.5000 0.2412
Al1 Al 0.0000 0.0000 0.5000
Al2 Al 0.0000 0.5000 0.8805
Al3 Al 0.5000 0.5000 0.5000
Ni1 Ni 0.5000 0.5000 0.0000
Rh1 Rh 0.0000 0.0000 0.0000
Rh2 Rh 0.0000 0.5000 0.6330
```

Summary:
Calculated total energy (eV per atom): -6.029
ΔH_f (0 K) (eV/atom): -0.795
Total magnetization (μB per cell): 0.00

---

No. 8
The following is a DFT calculation (PBE) of a relaxed structure of Nd2AlNiS5.

Cell and atoms, written as CIF:
```
data_Nd2AlNiS5
_chemical_formula_sum 'Nd8 Al4 Ni4 S20'
_cell_length_a 3.9013
_cell_length_b 17.1642
_cell_length_c 11.0092
_cell_angle_alpha 90.00
_cell_angle_beta 90.00
_cell_angle_gamma 90.00
_symmetry_space_group_name_H-M 'C m c 21'
_symmetry_Int_Tables_number 36
loop_
_symmetry_equiv_pos_as_xyz
'x,y,z'
'-x,-y,z+1/2'
'-x,y,z'
'x,-y,z+1/2'
'x+1/2,y+1/2,z'
'-x+1/2,-y+1/2,z+1/2'
'-x+1/2,y+1/2,z'
'x+1/2,-y+1/2,z+1/2'
loop_
_atom_site_label
_atom_site_type_symbol
_atom_site_fract_x
_atom_site_fract_y
_atom_site_fract_z
Nd1 Nd 0.0000 0.1082 0.0000
Nd2 Nd 0.0000 0.1215 0.6236
Al1 Al 0.0000 0.4040 0.7913
Ni1 Ni 0.0000 0.2553 0.4483
S1 S 0.0000 0.0446 0.3761
S2 S 0.0000 0.3033 0.6483
S3 S 0.0000 0.3077 0.9563
S4 S 0.0000 0.3558 0.3179
S5 S 0.0000 0.4922 0.6188
```

Summary:
Calculated total energy (eV per atom): -5.844
Total magnetization (μB per cell): 3.79
ΔE_f (raw) (eV per atom): -1.433

---

No. 9
The following is a DFT calculation (PBE) of a relaxed structure of Nd2ScAl12Ni3.

Cell and atoms, written as CIF:
```
data_Nd2ScAl12Ni3
_chemical_formula_sum 'Nd6 Sc3 Al36 Ni9'
_cell_length_a 8.4390
_cell_length_b 8.4390
_cell_length_c 18.2571
_cell_angle_alpha 90.00
_cell_angle_beta 90.00
_cell_angle_gamma 120.00
_symmetry_space_group_name_H-M 'R -3 m'
_symmetry_Int_Tables_number 166
_symmetry_space_group_name_Hall '-R 3 2"'
loop_
_atom_site_label
_atom_site_type_symbol
_atom_site_fract_x
_atom_site_fract_y
_atom_site_fract_z
Nd1 Nd 0.0000 0.0000 0.0809
Sc1 Sc 0.0000 0.0000 0.5000
Al1 Al 0.0766 0.5383 0.3114
Al2 Al 0.0816 0.5408 0.8781
Ni1 Ni 0.0000 0.5000 0.0000
```

Summary:
Calculated total energy (eV per atom): -4.353
ΔH_f (0 K) (eV/atom): -0.013
Total magnetization (μB per cell): 0.00

---

No. 10
The following is a DFT calculation (PBE) of a relaxed structure of NdAlSi2Ni4.

Cell and atoms, written as CIF:
```
data_NdAlSi2Ni4
_chemical_formula_sum 'Nd3 Al3 Si6 Ni12'
_cell_length_a 3.9662
_cell_length_b 3.9662
_cell_length_c 25.2545
_cell_angle_alpha 90.00
_cell_angle_beta 90.00
_cell_angle_gamma 120.00
_symmetry_space_group_name_H-M 'R -3 m'
_symmetry_Int_Tables_number 166
_symmetry_space_group_name_Hall '-R 3 2"'
loop_
_atom_site_label
_atom_site_type_symbol
_atom_site_fract_x
_atom_site_fract_y
_atom_site_fract_z
Nd1 Nd 0.0000 0.0000 0.0000
Al1 Al 0.0000 0.0000 0.5000
Si1 Si 0.0000 0.0000 0.2400
Ni1 Ni 0.0000 0.0000 0.1340
Ni2 Ni 0.0000 0.0000 0.4091
```

Summary:
Calculated total energy (eV per atom): -5.894
Total magnetization (μB per cell): 0.00
ΔE_f (raw) (eV per atom): -0.584